# TcBi3P (PBE, relaxed)
data_TcBi3P
_cell_length_a 5.245
_cell_length_b 5.245
_cell_length_c 5.245
_cell_angle_alpha 90.00
_cell_angle_beta 90.00
_cell_angle_gamma 90.00
_space_group_name_H-M_alt 'P m -3 m'
_space_group_IT_number 221
_space_group_name_Hall '-P 4 2 3'
loop_
_atom_site_label
_atom_site_fract_x
_atom_site_fract_y
_atom_site_fract_z
Tc1 0.000 0.000 0.000
Bi1 0.000 0.000 0.500
P1 0.500 0.500 0.500
# Electronic total energy ... -4.727 eV per atom
# Mass density ... 8.70 g/cm3
# Energy relative to the elements ... 757 meV per atom
# Distance to the lowest polymorph of the same formula ... 0.000 eV/atom